[1]
Li2CaLa2Tl5 | the Alexandria database | PBE | optimized geometry; space group = P4/mbm; raw total energy = -3.10 eV per atom; ΔH_f (0 K) = -0.350 eV per atom; Fermi-level density of states = 0.575 states/eV per atom; total moment = 0.000 μB/cell
1.0
10.9686 0.0000 0.0000
0.0000 10.9686 0.0000
0.0000 0.0000 4.4036
Li Ca La Tl
4 2 4 10
Direct
0.1141 0.3859 0.0000
0.3859 0.8859 0.0000
0.6141 0.1141 0.0000
0.8859 0.6141 0.0000
0.0000 0.0000 0.0000
0.5000 0.5000 0.0000
0.1786 0.6786 0.0000
0.3214 0.1786 0.0000
0.6786 0.8214 0.0000
0.8214 0.3214 0.0000
0.0000 0.5000 0.5000
0.0691 0.2136 0.5000
0.2136 0.9309 0.5000
0.2864 0.4309 0.5000
0.4309 0.7136 0.5000
0.5000 0.0000 0.5000
0.5691 0.2864 0.5000
0.7136 0.5691 0.5000
0.7864 0.0691 0.5000
0.9309 0.7864 0.5000

=====

[2]
Sr2Cd2Pd15 | the Alexandria database | PBE | optimized geometry; space group = R-3m; raw total energy = -4.68 eV per atom; ΔH_f (0 K) = -0.305 eV per atom; Fermi-level density of states = 1.163 states/eV per atom; total moment = 0.001 μB/cell
1.0
4.6577 2.6891 4.5982
-4.6577 2.6891 4.5982
0.0000 -5.3782 4.5982
Sr Cd Pd
2 2 15
Direct
0.1520 0.1520 0.1520
0.8480 0.8480 0.8480
0.3990 0.3990 0.3990
0.6010 0.6010 0.6010
0.0000 0.5000 0.5000
0.1538 0.1538 0.6553
0.1538 0.6553 0.1538
0.1991 0.5000 0.8009
0.1991 0.8009 0.5000
0.3447 0.8462 0.8462
0.5000 0.0000 0.5000
0.5000 0.1991 0.8009
0.5000 0.5000 0.0000
0.5000 0.8009 0.1991
0.6553 0.1538 0.1538
0.8009 0.1991 0.5000
0.8009 0.5000 0.1991
0.8462 0.3447 0.8462
0.8462 0.8462 0.3447

=====

[3]
MgInCl2 | the Alexandria database | PBE | optimized geometry; space group = Pmmm; raw total energy = -2.66 eV per atom; formation energy without anion corrections = -2.63 eV per formula unit; polymorph energy (0 for the lowest one) = 573 meV/atom; Fermi-level density of states = 0.559 states/eV per atom; total moment = 0.003 μB/cell
1.0
3.6060 0.0000 0.0000
0.0000 4.4876 0.0000
0.0000 0.0000 6.2877
Mg In Cl
1 1 2
Direct
0.0000 0.0000 0.0000
0.5000 0.0000 0.5000
0.0000 0.5000 0.5000
0.5000 0.5000 0.0000

=====

Repeat the third record exactly.
MgInCl2 | the Alexandria database | PBE | optimized geometry; space group = Pmmm; raw total energy = -2.66 eV per atom; formation energy without anion corrections = -2.63 eV per formula unit; polymorph energy (0 for the lowest one) = 573 meV/atom; Fermi-level density of states = 0.559 states/eV per atom; total moment = 0.003 μB/cell
1.0
3.6060 0.0000 0.0000
0.0000 4.4876 0.0000
0.0000 0.0000 6.2877
Mg In Cl
1 1 2
Direct
0.0000 0.0000 0.0000
0.5000 0.0000 0.5000
0.0000 0.5000 0.5000
0.5000 0.5000 0.0000

=====

- Which value of raw total energy does entry 2 give?
  -4.68 eV per atom

=====

Copy entry 1 word for word.
Li2CaLa2Tl5 | the Alexandria database | PBE | optimized geometry; space group = P4/mbm; raw total energy = -3.10 eV per atom; ΔH_f (0 K) = -0.350 eV per atom; Fermi-level density of states = 0.575 states/eV per atom; total moment = 0.000 μB/cell
1.0
10.9686 0.0000 0.0000
0.0000 10.9686 0.0000
0.0000 0.0000 4.4036
Li Ca La Tl
4 2 4 10
Direct
0.1141 0.3859 0.0000
0.3859 0.8859 0.0000
0.6141 0.1141 0.0000
0.8859 0.6141 0.0000
0.0000 0.0000 0.0000
0.5000 0.5000 0.0000
0.1786 0.6786 0.0000
0.3214 0.1786 0.0000
0.6786 0.8214 0.0000
0.8214 0.3214 0.0000
0.0000 0.5000 0.5000
0.0691 0.2136 0.5000
0.2136 0.9309 0.5000
0.2864 0.4309 0.5000
0.4309 0.7136 0.5000
0.5000 0.0000 0.5000
0.5691 0.2864 0.5000
0.7136 0.5691 0.5000
0.7864 0.0691 0.5000
0.9309 0.7864 0.5000